Ba2Cd3 after structural relaxation, computed with GGA-PBEsol.

a = 5.352 Å, b = 5.352 Å, c = 7.399 Å
α = 68.80°, β = 68.80°, γ = 60.00°
Atoms (fractional coordinates):
Ba  0.591  0.591  0.228
Ba  0.409  0.409  0.772
Cd  0.000  0.000  0.000
Cd  0.163  0.163  0.511
Cd  0.837  0.837  0.489

Final energy, eV per atom: -1.808
Space-group type: No. 166
DFT formation energy, meV/atom: -231



ScIrRu2 after structural relaxation, computed with GGA-PBEsol.

a = 4.391 Å, b = 4.391 Å, c = 4.391 Å
α = 60.00°, β = 60.00°, γ = 60.00°
Site moments in Bohr magnetons follow the coordinates.
Atoms (fractional coordinates):
Ir  0.500  0.500  0.500  0.45
Ru  0.000  0.000  0.000  0.67
Ru  0.750  0.750  0.750  1.19
Sc  0.250  0.250  0.250  0.00

Final energy, eV per atom: -9.177
Space-group type: No. 216
DFT formation energy, meV/atom: 16



Te5P2Pb2 after structural relaxation, computed with GGA-PBEsol.

a = 4.143 Å, b = 4.143 Å, c = 17.237 Å
α = 90.00°, β = 90.00°, γ = 120.00°
Atoms (fractional coordinates):
Pb  0.000  0.000  0.680
Pb  0.000  0.000  0.320
P  0.333  0.667  0.908
P  0.667  0.333  0.092
Te  0.000  0.000  0.000
Te  0.333  0.667  0.176
Te  0.667  0.333  0.824
Te  0.333  0.667  0.577
Te  0.667  0.333  0.423

Final energy, eV per atom: -4.126
Space-group type: No. 164



Rb2NaNb6P3O24 after structural relaxation, computed with GGA-PBEsol.

a = 8.504 Å, b = 8.504 Å, c = 8.514 Å
α = 104.59°, β = 104.59°, γ = 104.15°
Atoms (fractional coordinates):
Rb  0.599  0.902  0.212
Rb  0.098  0.401  0.788
Na  0.003  0.997  0.000
Nb  0.855  0.658  0.539
Nb  0.467  0.346  0.151
Nb  0.654  0.533  0.849
Nb  0.342  0.145  0.461
Nb  0.535  0.852  0.657
Nb  0.148  0.465  0.343
P  0.772  0.228  0.000
P  0.230  0.003  0.771
P  0.997  0.770  0.229
O  0.946  0.262  0.138
O  0.002  0.528  0.477
O  0.856  0.740  0.058
O  0.916  0.788  0.372
O  0.630  0.211  0.081
O  0.738  0.054  0.862
O  0.819  0.573  0.715
O  0.789  0.370  0.919
O  0.653  0.500  0.350
O  0.707  0.811  0.569
O  0.427  0.181  0.285
O  0.500  0.347  0.650
O  0.569  0.710  0.815
O  0.526  0.474  0.000
O  0.290  0.431  0.185
O  0.472  0.998  0.523
O  0.346  0.654  0.500
O  0.212  0.084  0.628
O  0.189  0.293  0.431
O  0.260  0.144  0.942
O  0.375  0.925  0.790
O  0.075  0.625  0.210
O  0.137  0.943  0.264
O  0.057  0.863  0.736

Final energy, eV per atom: -8.350
Space-group type: No. 5



Ti5CoSn3 after structural relaxation, computed with GGA-PBEsol.

a = 5.380 Å, b = 8.126 Å, c = 8.126 Å
α = 120.00°, β = 90.00°, γ = 90.00°
Atoms (fractional coordinates):
Ti  0.750  0.000  0.753
Ti  0.250  0.000  0.247
Ti  0.750  0.753  0.000
Ti  0.250  0.247  0.000
Ti  0.750  0.247  0.247
Ti  0.250  0.753  0.753
Ti  0.000  0.333  0.667
Ti  0.000  0.667  0.333
Ti  0.500  0.667  0.333
Ti  0.500  0.333  0.667
Co  0.000  0.000  0.000
Co  0.500  0.000  0.000
Sn  0.750  0.000  0.396
Sn  0.250  0.000  0.604
Sn  0.750  0.396  0.000
Sn  0.250  0.604  0.000
Sn  0.750  0.604  0.604
Sn  0.250  0.396  0.396

Final energy, eV per atom: -7.335
Space-group type: No. 193
DFT formation energy, meV/atom: -432



ScCd2Si after structural relaxation, computed with GGA-PBEsol.

a = 3.127 Å, b = 4.115 Å, c = 6.198 Å
α = 90.00°, β = 104.61°, γ = 90.00°
Atoms (fractional coordinates):
Cd  0.187  0.000  0.375
Cd  0.570  0.500  0.140
Sc  0.916  0.000  0.833
Si  0.342  0.500  0.684

Final energy, eV per atom: -3.934
Space-group type: No. 38



Ba2HF after structural relaxation, computed with GGA-PBEsol.

a = 4.967 Å, b = 4.967 Å, c = 4.967 Å
α = 60.00°, β = 60.00°, γ = 60.00°
Atoms (fractional coordinates):
H  0.000  0.000  0.000
Ba  0.250  0.250  0.250
Ba  0.750  0.750  0.750
F  0.500  0.500  0.500

Final energy, eV per atom: -3.454
Space-group type: No. 225



V3Cr3B8 after structural relaxation, computed with GGA-PBEsol.

a = 2.938 Å, b = 2.940 Å, c = 12.977 Å
α = 90.00°, β = 90.00°, γ = 90.00°
Atoms (fractional coordinates):
Cr  0.000  0.000  0.187
Cr  0.500  0.500  0.688
Cr  0.500  0.500  0.313
B  0.500  0.000  0.432
B  0.000  0.500  0.935
B  0.000  0.500  0.068
B  0.500  0.000  0.565
B  0.000  0.000  0.359
B  0.500  0.500  0.863
B  0.500  0.500  0.141
B  0.000  0.000  0.637
V  0.000  0.000  0.811
V  0.500  0.000  0.002
V  0.000  0.500  0.499

Final energy, eV per atom: -9.003
Space-group type: No. 25
DFT formation energy, meV/atom: -735



InRh3 after structural relaxation, computed with GGA-PBEsol.

a = 2.848 Å, b = 2.848 Å, c = 8.546 Å
α = 90.00°, β = 90.00°, γ = 120.00°
Atoms (fractional coordinates):
In  0.000  0.000  0.000
Rh  0.000  0.000  0.500
Rh  0.333  0.667  0.743
Rh  0.333  0.667  0.257

Final energy, eV per atom: -6.762
Space-group type: No. 187
DFT formation energy, meV/atom: 88



TcSbPb2 after structural relaxation, computed with GGA-PBEsol.

a = 3.593 Å, b = 5.124 Å, c = 5.347 Å
α = 90.00°, β = 97.92°, γ = 90.00°
Site moments in Bohr magnetons follow the coordinates.
Atoms (fractional coordinates):
Pb  0.803  0.000  0.732  0.01
Pb  0.197  0.000  0.268  0.01
Sb  0.500  0.500  0.000  -0.01
Tc  0.500  0.500  0.500  0.73

Final energy, eV per atom: -5.294
Space-group type: No. 10



Y2SbOs after structural relaxation, computed with GGA-PBEsol.

a = 4.690 Å, b = 5.160 Å, c = 4.690 Å
α = 62.97°, β = 90.00°, γ = 117.03°
Atoms (fractional coordinates):
Os  0.500  0.000  0.500
Sb  0.000  0.000  0.000
Y  0.250  0.500  0.250
Y  0.750  0.500  0.750

Final energy, eV per atom: -7.933
Space-group type: No. 139



CdPbBr2 after structural relaxation, computed with GGA-PBEsol.

a = 4.273 Å, b = 5.016 Å, c = 5.016 Å
α = 90.07°, β = 90.00°, γ = 90.00°
Atoms (fractional coordinates):
Pb  0.500  0.500  0.500
Br  0.000  0.500  0.000
Br  0.000  0.000  0.500
Cd  0.500  0.000  0.000

Final energy, eV per atom: -2.541
Space-group type: No. 65
Excess energy over the best structure of this formula in the dataset, eV per atom: 0.090